Entry 1:
Entry from the Alexandria database: a relaxed CuSi2Rh crystal (GGA-PBE).

Structure (POSCAR):
```
CuSi2Rh
1.0
-4.548 -0.082 0.915
-3.781 -2.686 0.126
0.420 -1.111 4.072
Si Rh Cu
2 1 1
direct
0.249 0.249 0.279
0.009 0.009 0.971
0.746 0.746 0.781
0.497 0.497 0.469
```

Calculated values
SG = Cm, No. 8
E_form (uncorrected) = -241 meV per atom

***

Entry 2:
Entry from the Alexandria database: a relaxed TaBeTc crystal (GGA-PBE).

Structure (POSCAR):
```
TaBeTc
1.0
4.195 0.000 0.000
2.098 3.633 0.000
2.098 1.211 3.425
Tc Ta Be
1 1 1
direct
0.000 0.000 0.000
0.750 0.750 0.750
0.500 0.500 0.500
```

Calculated values
energy above the most stable polymorph in this dataset = 114.91 kJ/mol of atoms
SG = F-43m, No. 216

***

Entry 3:
Entry from the Alexandria database: a relaxed Pr5Pt2O12 crystal (GGA-PBE).

Structure (POSCAR):
```
Pr5Pt2O12
1.0
-0.931 -6.078 0.656
-2.037 2.777 -6.302
7.477 -1.216 -0.656
Pt O Pr
2 12 5
direct
0.753 0.000 0.000
0.247 0.000 0.000
0.599 0.695 0.425
0.096 0.695 0.425
0.900 0.326 0.082
0.574 0.674 0.918
0.100 0.674 0.918
0.500 0.999 0.174
0.426 0.326 0.082
0.500 0.001 0.826
0.401 0.305 0.575
0.000 0.000 0.828
0.000 0.000 0.172
0.904 0.305 0.575
0.696 0.392 0.837
0.698 0.396 0.359
0.000 0.000 0.500
0.302 0.604 0.641
0.304 0.608 0.163
```

Calculated values
SG = C2/m, No. 12
E_form (uncorrected) = -2424 meV per atom